Below is an optimized crystal structure of LaYPt, with properties calculated at the PBE level.

The value obtained for the polymorph energy (0 for the lowest one) is 107 meV/atom. The crystal system is trigonal. For the formation energy from the elements, the calculation gives -0.7443 eV/atom. The density of states at the Fermi level is 3.70 states/eV/f.u.

The space group is P3m1 (No. 156) and the conventional cell measures 4.1735, 4.1735 and 6.4087 Å, with angles of 90.00, 90.00 and 120.00 degrees. The distinct sites, in fractional coordinates, are La at (0.0000, 0.0000, 0.0000), Y at (0.6667, 0.3333, 0.4897) and Pt at (0.3333, 0.6667, 0.2604).

=====

Below is an optimized crystal structure of LaY2Pt, with properties calculated at the PBE level.

The value obtained for the polymorph energy (0 for the lowest one) is 450 meV/atom. The crystal system is cubic. For the formation energy from the elements, the calculation gives -0.2338 eV/atom. The density of states at the Fermi level is 5.72 states/eV/f.u.

The space group is F-43m (No. 216) and the conventional cell measures 7.4864, 7.4864 and 7.4864 Å, with angles of 90.00, 90.00 and 90.00 degrees. The distinct sites, in fractional coordinates, are La at (0.0000, 0.0000, 0.0000), Y at (0.0000, 0.0000, 0.5000), Y at (0.2500, 0.2500, 0.7500) and Pt at (0.2500, 0.2500, 0.2500).